TbCe2Ru3: optimized geometry, PBE.

Structure (POSCAR):
```
TbCe2Ru3
1.0
7.740 -2.849 0.000
7.740 2.849 0.000
-2.046 0.000 5.572
Tb Ce Ru
2 4 6
Cartesian
6.206 1.940 4.179
7.229 -1.940 1.393
3.210 0.492 4.986
4.233 -0.492 2.200
9.201 0.492 3.373
10.224 -0.492 0.587
1.208 0.380 3.601
2.231 -0.380 0.815
7.229 0.835 1.393
6.206 -0.835 4.179
11.204 0.380 4.758
12.227 -0.380 1.971
```

Output
* energy of formation from the pure elements: -252 meV per atom
* SG: C2/c (15)
* relative energy among the computed polymorphs: 0.499 eV per formula unit

=====

Tb2Ce2Ru3: optimized geometry, PBE.

Structure (POSCAR):
```
Tb2Ce2Ru3
1.0
10.876 0.000 0.000
0.000 4.717 0.000
-1.479 0.000 6.782
Tb Ce Ru
4 4 6
Cartesian
0.843 0.000 2.790
3.116 2.358 3.992
6.281 2.358 2.790
8.554 0.000 3.992
0.113 2.358 5.901
3.845 0.000 0.881
5.551 0.000 5.901
9.283 2.358 0.881
-0.740 2.358 3.391
1.634 2.358 1.396
2.325 0.000 5.386
4.698 0.000 3.391
7.072 0.000 1.396
7.763 2.358 5.386
```

Output
* energy of formation from the pure elements: -327 meV per atom
* SG: C2/m (12)
* relative energy among the computed polymorphs: 0.531 eV per formula unit

=====

Tb2Ce3Ru2: optimized geometry, PBE.

Structure (POSCAR):
```
Tb2Ce3Ru2
1.0
11.470 0.000 0.000
0.000 3.792 0.000
-2.976 0.000 8.113
Tb Ce Ru
4 6 4
Cartesian
0.967 0.000 2.449
1.792 1.896 5.665
6.702 1.896 2.449
7.527 0.000 5.665
-1.488 1.896 4.057
-1.377 1.896 7.580
4.136 0.000 0.533
4.247 0.000 4.057
4.358 0.000 7.580
9.871 1.896 0.533
-0.584 0.000 5.762
3.343 1.896 2.352
5.151 1.896 5.762
9.078 0.000 2.352
```

Output
* energy of formation from the pure elements: -259 meV per atom
* SG: C2/m (12)

=====

Tb5CeRu4: optimized geometry, PBE.

Structure (POSCAR):
```
Tb5CeRu4
1.0
8.740 -1.948 0.000
8.740 1.948 0.000
-0.070 0.000 7.710
Tb Ce Ru
5 1 4
Cartesian
0.000 0.000 0.000
5.959 0.000 1.977
5.968 0.000 5.704
11.441 0.000 2.006
11.451 0.000 5.734
-0.035 0.000 3.855
3.395 0.000 3.865
8.699 0.000 2.000
8.711 0.000 5.711
14.015 0.000 3.845
```

Output
* energy of formation from the pure elements: -162 meV per atom
* SG: C2/m (12)
* relative energy among the computed polymorphs: 1.408 eV per formula unit

=====

Tb2Ce2Ru3: optimized geometry, PBE.

Structure (POSCAR):
```
Tb2Ce2Ru3
1.0
4.083 0.000 0.000
2.037 5.640 0.000
2.028 0.213 6.968
Tb Ce Ru
2 2 3
Cartesian
1.020 1.248 0.852
7.128 4.605 6.116
3.054 1.763 4.195
5.094 4.089 2.773
1.014 0.106 3.484
3.060 3.765 1.187
5.088 2.088 5.781
```

Output
* energy of formation from the pure elements: -403 meV per atom
* SG: P-1 (2)
* relative energy among the computed polymorphs: 0.000 eV per formula unit

=====

Tb5CeRu4: optimized geometry, PBE.

Structure (POSCAR):
```
Tb5CeRu4
1.0
4.879 0.000 0.000
0.063 6.773 0.000
2.438 0.771 7.196
Tb Ce Ru
5 1 4
Cartesian
0.000 0.000 0.000
2.469 3.507 2.441
2.503 6.882 2.391
4.877 0.662 4.806
4.910 4.037 4.755
0.032 3.387 0.000
2.482 5.608 5.004
4.885 2.522 7.196
2.494 5.023 0.000
4.898 1.937 2.192
```

Output
* energy of formation from the pure elements: -303 meV per atom
* SG: P-1 (2)
* relative energy among the computed polymorphs: 0.000 eV per formula unit

=====

TbCe5Ru5: optimized geometry, PBE.

Structure (POSCAR):
```
TbCe5Ru5
1.0
6.297 -2.837 0.000
6.297 2.837 0.000
-2.661 0.000 7.381
Tb Ce Ru
1 5 5
Cartesian
0.000 0.000 0.000
-1.331 0.000 3.691
2.393 0.000 4.817
3.886 0.000 1.142
6.047 0.000 6.239
7.540 0.000 2.564
-0.234 0.000 5.815
1.664 0.000 2.394
6.297 0.000 0.000
8.268 0.000 4.987
10.166 0.000 1.566
```

Output
* energy of formation from the pure elements: -219 meV per atom
* SG: C2/m (12)

=====

Tb2Ce3Ru4: optimized geometry, PBE.

Structure (POSCAR):
```
Tb2Ce3Ru4
1.0
5.573 -2.142 0.000
5.573 2.142 0.000
-2.494 0.000 8.676
Tb Ce Ru
2 3 4
Cartesian
1.221 0.000 2.790
7.431 0.000 5.886
-0.932 0.000 7.920
4.326 0.000 4.338
9.584 0.000 0.756
-0.201 0.000 5.389
1.984 0.000 7.819
6.668 0.000 0.856
8.853 0.000 3.287
```

Output
* energy of formation from the pure elements: -344 meV per atom
* SG: C2/m (12)

=====

TbCe3Ru8: optimized geometry, PBE.

Structure (POSCAR):
```
TbCe3Ru8
1.0
2.676 1.545 8.767
-2.676 1.545 8.767
0.000 -3.090 8.767
Tb Ce Ru
1 3 8
Cartesian
0.000 0.000 0.000
0.000 0.000 9.906
0.000 0.000 13.185
0.000 0.000 23.002
0.000 0.000 4.938
-1.342 -0.775 20.272
0.000 -1.553 15.915
-1.345 0.777 15.915
0.000 0.000 18.083
1.342 -0.775 20.272
0.000 1.549 20.272
1.345 0.777 15.915
```

Output
* energy of formation from the pure elements: -277 meV per atom
* SG: R3m (160)

=====

Tb5CeRu3: optimized geometry, PBE.

Structure (POSCAR):
```
Tb5CeRu3
1.0
4.487 -4.650 0.000
4.487 4.650 0.000
-0.031 0.000 12.385
Tb Ce Ru
10 2 6
Cartesian
4.431 2.786 8.226
4.487 2.763 0.000
4.512 2.786 4.159
2.617 0.000 10.320
2.679 0.000 6.252
6.265 0.000 6.134
6.327 0.000 2.065
4.431 -2.786 8.226
4.487 -2.763 0.000
4.512 -2.786 4.159
2.706 0.000 2.099
6.238 0.000 10.286
-0.015 0.000 6.193
0.283 0.000 2.048
4.316 0.000 3.998
4.487 0.000 0.000
4.627 0.000 8.387
8.661 0.000 10.337
```

Output
* energy of formation from the pure elements: -248 meV per atom
* SG: C2/m (12)
* relative energy among the computed polymorphs: 0.000 eV per formula unit

=====

Tb5CeRu6: optimized geometry, PBE.

Structure (POSCAR):
```
Tb5CeRu6
1.0
4.193 -7.195 0.000
4.193 7.195 0.000
-2.820 0.000 3.974
Tb Ce Ru
5 1 6
Cartesian
0.000 0.000 0.000
2.783 4.821 1.987
4.193 2.468 0.000
4.193 -2.468 0.000
2.783 -4.821 1.987
2.783 0.000 1.987
1.439 2.319 1.027
0.053 0.000 3.024
1.439 -2.319 1.027
4.128 2.319 2.948
5.514 0.000 0.950
4.128 -2.319 2.948
```

Output
* energy of formation from the pure elements: -340 meV per atom
* SG: C2/m (12)

=====

TbCe2Ru9: optimized geometry, PBE.

Structure (POSCAR):
```
TbCe2Ru9
1.0
2.611 1.508 8.951
-2.611 1.508 8.951
0.000 -3.015 8.951
Tb Ce Ru
1 2 9
Cartesian
0.000 0.000 0.000
0.000 0.000 3.751
0.000 0.000 23.101
-1.316 -0.760 11.126
0.000 0.000 8.995
0.000 -1.519 15.726
-1.316 0.760 15.726
0.000 0.000 13.426
1.316 -0.760 11.126
0.000 1.519 11.126
0.000 0.000 17.857
1.316 0.760 15.726
```

Output
* energy of formation from the pure elements: -125 meV per atom
* SG: R-3m (166)

=====

TbCeRu2: optimized geometry, PBE.

Structure (POSCAR):
```
TbCeRu2
1.0
3.432 0.000 0.000
0.000 3.432 0.000
0.000 0.000 6.878
Tb Ce Ru
1 1 2
Cartesian
0.000 0.000 0.000
0.000 0.000 3.439
1.716 1.716 1.835
1.716 1.716 5.043
```

Output
* energy of formation from the pure elements: -367 meV per atom
* SG: P4/mmm (123)

=====

TbCe5Ru6: optimized geometry, PBE.

Structure (POSCAR):
```
TbCe5Ru6
1.0
2.439 -7.337 0.000
2.439 7.337 0.000
-0.411 0.000 6.879
Tb Ce Ru
1 5 6
Cartesian
0.000 0.000 0.000
-0.205 0.000 3.439
2.234 2.430 3.439
2.439 2.426 0.000
2.439 -2.426 0.000
2.234 -2.430 3.439
2.237 4.791 1.703
2.231 4.791 5.176
1.952 0.000 5.018
2.516 0.000 1.861
2.237 -4.791 1.703
2.231 -4.791 5.176
```

Output
* energy of formation from the pure elements: -320 meV per atom
* SG: C2/m (12)

=====

TbCeTcRu: optimized geometry, PBE.

Structure (POSCAR):
```
TbCeTcRu
1.0
6.872 0.000 0.000
0.000 6.872 0.000
0.000 0.000 6.872
Tb Ce Tc Ru
4 4 4 4
Cartesian
0.000 0.000 0.000
0.000 3.436 3.436
3.436 0.000 3.436
3.436 3.436 0.000
0.000 0.000 3.436
0.000 3.436 0.000
3.436 0.000 0.000
3.436 3.436 3.436
1.718 1.718 5.154
1.718 5.154 1.718
5.154 1.718 1.718
5.154 5.154 5.154
1.718 1.718 1.718
1.718 5.154 5.154
5.154 1.718 5.154
5.154 5.154 1.718
```

Output
* energy of formation from the pure elements: -143 meV per atom
* SG: F-43m (216)

=====

TbCeTm2Ru4: optimized geometry, PBE.

Structure (POSCAR):
```
TbCeTm2Ru4
1.0
2.412 1.392 7.748
-2.412 1.392 7.748
0.000 -2.785 7.748
Tb Ce Tm Ru
1 1 2 4
Cartesian
0.000 0.000 0.000
0.000 0.000 11.622
0.000 0.000 5.864
0.000 0.000 17.381
0.000 0.000 2.965
0.000 0.000 8.817
0.000 0.000 14.427
0.000 0.000 20.280
```

Output
* energy of formation from the pure elements: -421 meV per atom
* SG: R-3m (166)

=====

TbCeZnRu: optimized geometry, PBE.

Structure (POSCAR):
```
TbCeZnRu
1.0
7.018 0.000 0.000
0.000 7.018 0.000
0.000 0.000 7.018
Tb Ce Zn Ru
4 4 4 4
Cartesian
0.000 0.000 0.000
0.000 3.509 3.509
3.509 0.000 3.509
3.509 3.509 0.000
0.000 0.000 3.509
0.000 3.509 0.000
3.509 0.000 0.000
3.509 3.509 3.509
1.754 1.754 5.263
1.754 5.263 1.754
5.263 1.754 1.754
5.263 5.263 5.263
1.754 1.754 1.754
1.754 5.263 5.263
5.263 1.754 5.263
5.263 5.263 1.754
```

Output
* energy of formation from the pure elements: -294 meV per atom
* SG: F-43m (216)

=====

Ce8TcRu2: optimized geometry, PBE.

Structure (POSCAR):
```
Ce8TcRu2
1.0
3.925 -6.269 0.000
3.925 6.269 0.000
-2.169 0.000 5.438
Ce Tc Ru
8 1 2
Cartesian
0.400 1.395 3.210
3.925 3.580 0.000
0.400 -1.395 3.210
2.544 0.000 0.939
3.138 0.000 4.499
5.282 1.395 2.228
3.925 -3.580 0.000
5.282 -1.395 2.228
0.000 0.000 0.000
2.841 2.571 2.719
2.841 -2.571 2.719
```

Output
* energy of formation from the pure elements: -138 meV per atom
* SG: C2/m (12)
* relative energy among the computed polymorphs: 0.122 eV per formula unit

=====

Ce3TcRu: optimized geometry, PBE.

Structure (POSCAR):
```
Ce3TcRu
1.0
7.706 0.000 0.000
0.000 3.933 0.000
-3.287 0.000 7.501
Ce Tc Ru
6 2 2
Cartesian
-0.031 0.983 1.690
-0.500 0.983 6.958
0.908 2.949 4.569
3.511 0.983 2.932
4.919 2.949 0.543
4.450 2.949 5.811
1.662 2.949 1.444
2.756 0.983 6.057
-1.260 0.983 4.687
5.678 2.949 2.814
```

Output
* energy of formation from the pure elements: -164 meV per atom
* SG: P2_1/m (11)
* relative energy among the computed polymorphs: 0.031 eV per formula unit

=====

Ce3TcRu: optimized geometry, PBE.

Structure (POSCAR):
```
Ce3TcRu
1.0
0.000 4.999 7.273
3.110 0.000 7.273
3.110 4.999 0.000
Ce Tc Ru
6 2 2
Cartesian
3.110 4.999 2.404
3.110 3.118 5.861
3.110 3.118 8.684
3.110 6.881 5.861
3.110 6.881 8.684
3.110 4.999 12.142
4.822 4.999 7.273
1.399 4.999 7.273
1.555 2.500 3.636
4.666 7.499 10.909
```

Output
* energy of formation from the pure elements: -171 meV per atom
* SG: Fmmm (69)
* relative energy among the computed polymorphs: 0.000 eV per formula unit

=====

CeTc2Ru: optimized geometry, PBE.

Structure (POSCAR):
```
CeTc2Ru
1.0
2.826 0.000 0.000
-1.413 2.447 0.000
0.000 0.000 28.647
Ce Tc Ru
3 6 3
Cartesian
0.000 0.000 0.000
0.000 1.631 19.098
1.413 0.816 9.549
0.000 0.000 2.638
0.000 0.000 26.009
0.000 1.631 16.460
0.000 1.631 21.736
1.413 0.816 6.911
1.413 0.816 12.187
0.000 0.000 14.323
0.000 1.631 4.774
1.413 0.816 23.872
```

Output
* energy of formation from the pure elements: 395 meV per atom
* SG: R-3m (166)

=====

Ce6TcRu3: optimized geometry, PBE.

Structure (POSCAR):
```
Ce6TcRu3
1.0
11.458 0.000 0.000
0.000 3.971 0.000
-4.217 0.000 10.758
Ce Tc Ru
12 2 6
Cartesian
-1.191 0.993 4.307
-2.714 0.993 10.185
1.635 2.978 2.889
-0.067 2.978 8.073
2.272 0.993 6.020
4.446 2.978 1.142
2.795 0.993 9.617
4.969 2.978 4.738
7.308 0.993 2.685
5.606 0.993 7.869
9.955 2.978 0.573
8.432 2.978 6.451
3.902 0.993 3.313
3.339 2.978 7.446
-0.087 0.993 1.851
0.238 2.978 5.526
-0.021 0.993 9.899
7.262 2.978 0.859
7.003 0.993 5.232
7.328 2.978 8.907
```

Output
* energy of formation from the pure elements: -181 meV per atom
* SG: P2_1/m (11)

=====

| no. | DFT total energy (eV/atom) | N(E_F) (states/eV/cell) |
| --- | --- | --- |
| 1 | -7.6391 | 9.5 |
| 2 | -7.3207 | 10.5 |
| 3 | -6.7756 | 25.2 |
| 4 | -6.7809 | 9.9 |
| 5 | -7.3965 | 5.8 |
| 6 | -6.9217 | 7.8 |
| 7 | -7.5534 | 8.7 |
| 8 | -7.4736 | 7.2 |
| 9 | -8.3307 | 12.2 |
| 10 | -6.5719 | 12.2 |
| 11 | -7.4020 | 7.4 |
| 12 | -8.4570 | 16.8 |
| 13 | -7.6459 | 1.6 |
| 14 | -7.8164 | 10.5 |
| 15 | -7.6942 | 11.7 |
| 16 | -7.4969 | 5.0 |
| 17 | -5.5723 | 14.5 |
| 18 | -7.0826 | 26.9 |
| 19 | -7.6532 | 15.1 |
| 20 | -7.6594 | 17.3 |
| 21 | -8.5903 | 18.2 |
| 22 | -7.5606 | 36.3 |